[1]
# Li3Ag4Pt

Li3Ag4Pt after structural relaxation (PBE, Alexandria via LeMat-Bulk).

Lattice parameters (Å, degrees): 4.2076 4.2077 7.8461 74.25 105.55 90.00
Fractional coordinates of all 8 atoms:
Ag (0.8714, 0.1283, 0.7428)
Ag (0.3714, 0.6292, 0.7428)
Ag (0.6286, 0.3708, 0.2572)
Ag (0.1286, 0.8717, 0.2572)
Li (0.0000, 0.5000, 0.0000)
Li (0.2522, 0.2482, 0.5044)
Li (0.7478, 0.7518, 0.4956)
Pt (0.5000, 0.0000, 0.0000)

The value obtained for the total DFT energy (no corrections) is -3.106 eV per atom. The value obtained for the total magnetization is 0.00 μB/f.u. For the density of states at the Fermi level, the calculation gives 0.243 states/eV/atom. As for the crystal system: monoclinic.

***

[2]
# Li2CdHg9

Li2CdHg9 after structural relaxation (PBE, Alexandria via LeMat-Bulk).

Lattice parameters (Å, degrees): 3.3087 10.1086 10.1086 120.00 90.00 90.00
Fractional coordinates of all 12 atoms:
Li (0.0000, 0.6667, 0.3333)
Li (0.0000, 0.3333, 0.6667)
Cd (0.0000, 0.0000, 0.0000)
Hg (0.0000, 0.5000, 0.0000)
Hg (0.5000, 0.8206, 0.6411)
Hg (0.0000, 0.0000, 0.5000)
Hg (0.5000, 0.3589, 0.1794)
Hg (0.5000, 0.1794, 0.3589)
Hg (0.5000, 0.8206, 0.1794)
Hg (0.5000, 0.6411, 0.8206)
Hg (0.0000, 0.5000, 0.5000)
Hg (0.5000, 0.1794, 0.8206)

The value obtained for the total DFT energy (no corrections) is -0.693 eV per atom. The value obtained for the total magnetization is 0.00 μB/f.u. For the density of states at the Fermi level, the calculation gives 0.379 states/eV/atom. The polymorph energy (0 for the lowest one) comes out at 3.52 kJ per mole of atoms. As for the crystal system: hexagonal.

***

[3]
# PmY8Cd2

PmY8Cd2 after structural relaxation (PBE, Alexandria via LeMat-Bulk).

Lattice parameters (Å, degrees): 5.6294 8.7232 8.7232 118.85 100.81 100.81
Fractional coordinates of all 11 atoms:
Y (0.2978, 0.5988, 0.5988)
Y (0.8876, 0.9082, 0.6793)
Y (0.5000, 0.2237, 0.7763)
Y (0.1124, 0.3207, 0.0918)
Y (0.8876, 0.6793, 0.9082)
Y (0.5000, 0.7763, 0.2237)
Y (0.7022, 0.4012, 0.4012)
Y (0.1124, 0.0918, 0.3207)
Pm (0.5000, 0.0000, 0.0000)
Cd (0.0000, 0.3067, 0.6933)
Cd (0.0000, 0.6933, 0.3067)

The value obtained for the total DFT energy (no corrections) is -5.280 eV per atom. The value obtained for the total magnetization is 0.00 μB/f.u. For the density of states at the Fermi level, the calculation gives 1.360 states/eV/atom. As for the crystal system: monoclinic.